(1)
! CsNd2Br7, relaxed, DFT PBE; values from VASP
&SYSTEM
  ibrav = 0, nat = 10, ntyp = 3
/
ATOMIC_SPECIES
Cs 132.91 Cs.upf
Nd 144.24 Nd.upf
Br 79.90 Br.upf
CELL_PARAMETERS angstrom
-5.1586 0.4918 2.6295
-2.5717 -7.5867 -3.6264
3.9459 -0.5302 7.8403
ATOMIC_POSITIONS crystal
Cs 0.0000 0.0000 0.0000
Nd 0.5000 0.6972 0.3028
Nd 0.5000 0.3028 0.6972
Br 0.0000 0.7067 0.2933
Br 0.0000 0.2933 0.7067
Br 0.5000 0.0485 0.3270
Br 0.5000 0.9515 0.6730
Br 0.5000 0.3270 0.0485
Br 0.5000 0.6730 0.9515
Br 0.5000 0.5000 0.5000
! formation energy (no corrections)	-1803	kJ/mol of formula units
! space group	Cmmm (65)
! raw total energy	-4.08	eV per atom
! volume	401.9	Å³ per cell
! total magnetization	0.0	μB/cell

(2)
! K2IrF5, relaxed, DFT PBE; values from VASP
&SYSTEM
  ibrav = 0, nat = 8, ntyp = 3
/
ATOMIC_SPECIES
K 39.10 K.upf
Ir 192.22 Ir.upf
F 19.00 F.upf
CELL_PARAMETERS angstrom
-5.5354 -1.8871 1.5796
2.2362 -2.2328 5.1681
0.9544 5.6471 -1.5230
ATOMIC_POSITIONS crystal
K 0.2477 0.7476 0.4951
K 0.7476 0.2477 0.4951
Ir 0.0080 0.0079 0.0159
F 0.7767 0.2373 0.0139
F 0.2374 0.2374 0.0142
F 0.7765 0.7765 0.0136
F 0.2372 0.7767 0.0139
F 0.7458 0.7459 0.4923
! formation energy (no corrections)	-1505	kJ/mol of formula units
! space group	I4mm (107)
! raw total energy	-4.50	eV per atom
! volume	150.3	Å³ per cell
! total magnetization	2.1	μB/cell

(3)
! Cs2NdTlBr6, relaxed, DFT PBE; values from VASP
&SYSTEM
  ibrav = 0, nat = 20, ntyp = 4
/
ATOMIC_SPECIES
Cs 132.91 Cs.upf
Nd 144.24 Nd.upf
Tl 204.38 Tl.upf
Br 79.90 Br.upf
CELL_PARAMETERS angstrom
-1.2242 -0.0706 8.2431
-1.0407 -8.6893 -0.2290
11.7804 -1.4585 1.8050
ATOMIC_POSITIONS crystal
Cs 0.0215 0.9335 0.2501
Cs 0.5215 0.5665 0.7501
Cs 0.9785 0.0665 0.7499
Cs 0.4785 0.4335 0.2499
Nd 0.5000 0.0000 0.5000
Nd 0.0000 0.5000 0.0000
Tl 0.5000 0.0000 0.0000
Tl 0.0000 0.5000 0.5000
Br 0.2832 0.6845 0.0444
Br 0.7832 0.8155 0.5444
Br 0.7168 0.3155 0.9556
Br 0.2168 0.1845 0.4556
Br 0.3195 0.7227 0.4513
Br 0.8195 0.7773 0.9513
Br 0.6805 0.2773 0.5487
Br 0.1805 0.2227 0.0487
Br 0.9088 0.5254 0.2331
Br 0.4088 0.9746 0.7331
Br 0.0912 0.4746 0.7669
Br 0.5912 0.0254 0.2669
! formation energy (no corrections)	-1629	kJ/mol of formula units
! space group	P2_1/c (14)
! raw total energy	-3.58	eV per atom
! volume	876.0	Å³ per cell
! total magnetization	0.0	μB/cell